Here is a geometry-optimized Al2PCF structure from Alexandria via LeMat-Bulk. Energies are from GGA-PBE.

abc: 4.3120 4.3120 4.2601
angles: 90.00 90.00 90.00
Last column: nearest neighbours and their distance in Å.
Space group P4/mmm (No. 123)
Asymmetric unit:
Al1 0.0000 0.5000 0.0000 [2 per cell]  2 F 2.16
P1 0.0000 0.0000 0.5000 [1 per cell]  2 F 2.13
C1 0.5000 0.5000 0.5000 [1 per cell]  8 Al 3.03, 4 P 3.05
F1 0.0000 0.0000 0.0000 [1 per cell]  2 P 2.13, 4 Al 2.16

Properties
E_form (uncorrected): 1.250 eV per atom
Total DFT energy (no corrections): -17.74 eV/f.u.